Mg15Ga: optimized geometry, PBE.

For the energy relative to the elements, the calculation gives -0.01 eV/atom.

It has space group P-6m2 (No. 187), with a = 6.3641 Å, b = 6.3641 Å, c = 10.1924 Å, α = 90.00°, β = 90.00° and γ = 120.00°. The distinct sites, in fractional coordinates, are Mg at (0.0000, 0.0000, 0.0000), Mg at (0.0044, 0.5022, 0.5000), Mg at (0.3304, 0.1652, 0.2556), Mg at (0.3333, 0.6667, 0.2496), Mg at (0.5008, 0.0017, 0.0000) and Ga at (0.0000, 0.0000, 0.5000).


LiLa2F8: optimized geometry, PBE.

The value obtained for the calculated total energy is -130.0 eV for the cell shown.

It has space group C2/m (No. 12), with a = 13.734 Å, b = 4.070 Å, c = 5.640 Å, α = 90.00°, β = 109.37° and γ = 90.00°. The distinct sites, in fractional coordinates, are Li at (0.000, 0.000, 0.000), La at (0.162, 0.500, 0.669), F at (0.018, 0.500, 0.277), F at (0.093, 0.000, 0.808), F at (0.170, 0.000, 0.406) and F at (0.219, 0.500, 0.121).


CsNaHg2: optimized geometry, PBE.

The distance to the lowest polymorph of the same formula is 28 meV per atom. For the energy relative to the elements, the calculation gives -0.21 eV/atom.

It has space group P2_1/m (No. 11), with a = 5.326 Å, b = 9.112 Å, c = 7.440 Å, α = 90.00°, β = 110.58° and γ = 90.00°. The distinct sites, in fractional coordinates, are Cs at (0.062, 0.250, 0.124), Na at (0.333, 0.250, 0.667) and Hg at (0.236, 0.582, 0.472).


Na7SeN12: optimized geometry, PBE.

The value obtained for the calculated total energy is -348.2 eV for the cell shown.

It has space group R-3 (No. 148, hexagonal axes), with a = 13.0621 Å, b = 13.0621 Å, c = 6.2157 Å, α = 90.00°, β = 90.00° and γ = 120.00°. The distinct sites, in fractional coordinates, are Na at (0.0000, 0.0000, 0.0000), Na at (0.0483, 0.2326, 0.6796), Se at (0.0000, 0.0000, 0.5000), N at (0.0299, 0.2609, 0.2240) and N at (0.0875, 0.5149, 0.7823).


TiNb2Se6: optimized geometry, PBE.

The distance to the lowest polymorph of the same formula is 0 meV per atom.

It has space group C2/m (No. 12), with a = 14.451 Å, b = 3.494 Å, c = 8.990 Å, α = 90.00°, β = 112.58° and γ = 90.00°. The distinct sites, in fractional coordinates, are Ti at (0.000, 0.000, 0.000), Nb at (0.169, 0.500, 0.338), Se at (0.027, 0.000, 0.301), Se at (0.135, 0.500, 0.029) and Se at (0.191, 0.500, 0.640).


CsBa2Pt2: optimized geometry, PBE.

The distance to the lowest polymorph of the same formula is 107 meV per atom. For the energy relative to the elements, the calculation gives -0.33 eV/atom.

It has space group I4/mmm (No. 139), with a = 5.873 Å, b = 5.873 Å, c = 12.991 Å, α = 90.00°, β = 90.00° and γ = 90.00°. The distinct sites, in fractional coordinates, are Cs at (0.000, 0.000, 0.000), Ba at (0.000, 0.000, 0.324) and Pt at (0.000, 0.500, 0.250).


LiPr2TlHg4: optimized geometry, PBE.

For the energy relative to the elements, the calculation gives -0.42 eV/atom.

It has space group R-3m (No. 166, hexagonal axes), with a = 5.2531 Å, b = 5.2531 Å, c = 25.4862 Å, α = 90.00°, β = 90.00° and γ = 120.00°. The distinct sites, in fractional coordinates, are Li at (0.0000, 0.0000, 0.0000), Pr at (0.0000, 0.0000, 0.2452), Tl at (0.0000, 0.0000, 0.5000), Hg at (0.0000, 0.0000, 0.1152) and Hg at (0.0000, 0.0000, 0.3678).


LiBBr4: optimized geometry, PBE.

The distance to the lowest polymorph of the same formula is 0 meV per atom.

It has space group I-4 (No. 82), with a = 6.138 Å, b = 6.138 Å, c = 9.589 Å, α = 90.00°, β = 90.00° and γ = 90.00°. The distinct sites, in fractional coordinates, are Li at (0.000, 0.000, 0.000), B at (0.000, 0.500, 0.250) and Br at (0.187, 0.700, 0.370).


The calculation returns the following volume values, one per record and in order: 22.344, 13.518, 42.253, 15.307, 23.288, 44.811, 25.378, 30.108 Å³ per atom.